# ZrCoI2O (GGA+U, relaxed)
# - Excess energy over the best structure of this formula in the dataset: 0.00 kJ per mole of atoms
# - D(E_F): 1.68 states/eV per cell
# - Mass density: 5.04 g/cm3
data_ZrCoI2O
_chemical_formula_sum 'Zr1 Co1 I2 O1'
_symmetry_space_group_name_H-M 'P 4/m m m'
_symmetry_Int_Tables_number 123
_symmetry_space_group_name_Hall '-P 4 2'
_cell_length_a 5.8757
_cell_length_b 5.8757
_cell_length_c 4.0105
_cell_angle_alpha 90.00
_cell_angle_beta 90.00
_cell_angle_gamma 90.00
loop_
_atom_site_label
_atom_site_fract_x
_atom_site_fract_y
_atom_site_fract_z
Zr1 0.0000 0.0000 0.0000
Co1 0.5000 0.5000 0.5000
I1 0.0000 0.5000 0.0000
O1 0.0000 0.0000 0.5000